## Pr3Si (PBE-GGA)

Data for a relaxed Pr3Si crystal.

abc: 7.083 7.083 5.207
angles: 90.00 90.00 120.00
Atoms (fractional coordinates):
Pr (0.181, 0.363, 0.250)
Pr (0.637, 0.819, 0.250)
Pr (0.181, 0.819, 0.250)
Pr (0.819, 0.637, 0.750)
Pr (0.363, 0.181, 0.750)
Pr (0.819, 0.181, 0.750)
Si (0.333, 0.667, 0.750)
Si (0.667, 0.333, 0.250)

## Properties
Size of the total moment (μB per formula unit): 0.000
E_form (uncorrected) (eV/f.u.): -0.946
Energy above the most stable polymorph in this dataset (meV/atom): 125